[1]
Ni2BiPt2, optimized geometry, DFT PBE; calculated formation energy = 0.11 eV per atom; energy above the lowest structure with this stoichiometry = 33 meV/atom; DOS at the Fermi energy = 10.3 states/eV/cell; size of the total moment = 1.05 μB per formula unit
1.0
3.6727 0.0000 0.0000
0.0000 3.6727 0.0000
1.8364 1.8364 6.3682
Ni Pt Bi
2 2 1
Direct
0.7500 0.2500 0.5000
0.2500 0.7500 0.5000
0.6116 0.6116 0.7768
0.3884 0.3884 0.2232
0.0000 0.0000 0.0000


[2]
MnReIr, optimized geometry, DFT PBE; calculated formation energy = 0.01 eV per atom; energy above the lowest structure with this stoichiometry = 88 meV/atom; DOS at the Fermi energy = 6.0 states/eV/cell; size of the total moment = 0.01 μB per formula unit
1.0
4.1856 0.0000 0.0000
2.0928 4.4452 -0.8375
2.0928 -0.5612 4.4885
Ir Mn Re
2 2 2
Direct
0.2492 0.2508 0.2508
0.7508 0.7492 0.7492
0.0000 0.8445 0.1555
0.0000 0.1555 0.8445
0.5000 0.3245 0.6755
0.5000 0.6755 0.3245


[3]
Ac3Si2Pb, optimized geometry, DFT PBE; formation energy from raw total energies = -0.3761 eV/atom; energy above the lowest structure with this stoichiometry = 55 meV/atom; DOS at the Fermi energy = 3.9 states/eV/cell; size of the total moment = 0.00 μB per formula unit
1.0
3.9663 0.0000 -1.2547
0.0000 5.0822 0.0000
0.7667 0.0000 9.3200
Si Pb Ac
2 1 3
Direct
0.2082 0.5000 0.4163
0.7918 0.5000 0.5837
0.0000 0.0000 0.0000
0.3358 0.0000 0.6715
0.5000 0.5000 0.0000
0.6642 0.0000 0.3285


The lowest size of the total moment belongs to which entry? Ac3Si2Pb